(1)
A relaxed structure of KAg3Sn3, computed with GGA-PBE.

Properties
Calculated total energy in eV per formula unit: -21.541
SG: R-3

Unit cell a=7.6199 b=7.6199 c=9.3952 alpha=66.08 beta=66.08 gamma=60.00
Closest atoms and distances in Å follow each position.
Sites, in units of the cell vectors:
K  0.3256  0.3256  0.0231  3 Ag 3.52, 3 Sn 3.68
K  0.6744  0.6744  0.9769  3 Ag 3.52, 3 Sn 3.68
Ag  0.4905  0.6463  0.6492  3 Sn 2.78-2.93, 4 Ag 2.89-2.99
Ag  0.6463  0.2140  0.6492  3 Sn 2.78-2.93, 4 Ag 2.89-2.99
Ag  0.2140  0.4905  0.6492  3 Sn 2.78-2.93, 4 Ag 2.89-2.99
Ag  0.7860  0.5095  0.3508  3 Sn 2.78-2.93, 4 Ag 2.89-2.99
Ag  0.3537  0.7860  0.3508  3 Sn 2.78-2.93, 4 Ag 2.89-2.99
Ag  0.5095  0.3537  0.3508  3 Sn 2.78-2.93, 4 Ag 2.89-2.99
Sn  0.0941  0.6227  0.3265  3 Ag 2.78-2.93
Sn  0.9567  0.0941  0.3265  3 Ag 2.78-2.93
Sn  0.6227  0.9567  0.3265  3 Ag 2.78-2.93
Sn  0.3773  0.0433  0.6735  3 Ag 2.78-2.93
Sn  0.0433  0.9059  0.6735  3 Ag 2.78-2.93
Sn  0.9059  0.3773  0.6735  3 Ag 2.78-2.93

---

(2)
A relaxed structure of CaLa2Tl, computed with GGA-PBE.

Properties
Calculated total energy in eV per formula unit: -15.017
SG: P4/mmm

Unit cell a=5.0845 b=5.0846 c=5.1095 alpha=90.00 beta=90.00 gamma=89.97
Closest atoms and distances in Å follow each position.
Sites, in units of the cell vectors:
Tl  0.5000  0.0000  0.5000  4 Ca 3.59-3.60, 8 La 3.60
Ca  0.0000  0.5000  0.5000  4 Tl 3.59-3.60, 8 La 3.60
La  0.0000  0.0000  0.0000  4 La 3.59-3.60, 4 Tl 3.60, 4 Ca 3.60
La  0.5000  0.5000  0.0000  4 La 3.59-3.60, 4 Ca 3.60, 4 Tl 3.60

---

(3)
A relaxed structure of MgTl2Hg4, computed with GGA-PBE.

Properties
Calculated total energy in eV per formula unit: -7.213
SG: Cmmm

Unit cell a=3.3892 b=7.9266 c=7.9266 alpha=109.38 beta=90.00 gamma=90.00
Closest atoms and distances in Å follow each position.
Sites, in units of the cell vectors:
Mg  0.0000  0.0000  0.0000  4 Hg 2.85
Tl  0.5000  0.0000  0.5000  6 Hg 3.23-3.29, 2 Tl 3.39
Tl  0.5000  0.5000  0.0000  6 Hg 3.23-3.29, 2 Tl 3.39
Hg  0.5000  0.7500  0.7500  2 Mg 2.85
Hg  0.0000  0.3770  0.6230  7 Hg 3.18-3.39, 4 Tl 3.29
Hg  0.5000  0.2500  0.2500  2 Mg 2.85
Hg  0.0000  0.6230  0.3770  7 Hg 3.18-3.39, 4 Tl 3.29

---

(4)
A relaxed structure of Ca5TmTl6, computed with GGA-PBE.

Properties
Calculated total energy in eV per formula unit: -33.692
SG: C2/m

Unit cell a=5.4430 b=7.8059 c=9.4501 alpha=65.60 beta=72.78 gamma=90.00
Closest atoms and distances in Å follow each position.
Sites, in units of the cell vectors:
Ca  0.6719  0.1718  0.6563  8 Tl 3.32-3.36
Ca  0.3348  0.3350  0.3299  8 Tl 3.37-3.38
Ca  0.0000  0.5000  0.0000  8 Tl 3.33-3.40
Ca  0.6652  0.6650  0.6701  8 Tl 3.37-3.38
Ca  0.3281  0.8282  0.3437  8 Tl 3.32-3.36
Tm  0.0000  0.0000  0.0000  8 Tl 3.27-3.30
Tl  0.8365  0.5934  0.3268  1 Tm 3.27, 7 Ca 3.32-3.38
Tl  0.8365  0.0798  0.3268  1 Tm 3.27, 7 Ca 3.32-3.38
Tl  0.5000  0.7608  0.0000  2 Tm 3.30, 6 Ca 3.36-3.40
Tl  0.5000  0.2392  0.0000  2 Tm 3.30, 6 Ca 3.36-3.40
Tl  0.1635  0.9202  0.6732  1 Tm 3.27, 7 Ca 3.32-3.38
Tl  0.1635  0.4066  0.6732  1 Tm 3.27, 7 Ca 3.32-3.38

---

(5)
A relaxed structure of Re2WSe, computed with GGA-PBE.

Properties
Formation energy from raw total energies in eV per atom: 0.68
SG: F-43m

Unit cell a=4.4584 b=4.4584 c=4.4584 alpha=60.00 beta=60.00 gamma=60.00
Closest atoms and distances in Å follow each position.
Sites, in units of the cell vectors:
Re  0.0000  0.0000  0.0000  4 Re 2.73, 4 W 2.73
Re  0.2500  0.2500  0.2500  4 Se 2.73, 4 Re 2.73
Se  0.5000  0.5000  0.5000  4 W 2.73, 4 Re 2.73
W  0.7500  0.7500  0.7500  4 Se 2.73, 4 Re 2.73

---

(6)
A relaxed structure of Cs3NiS, computed with GGA-PBE.

Properties
Formation energy from raw total energies in eV per atom: -0.03
SG: Pm-3m

Unit cell a=6.7254 b=6.7254 c=6.7254 alpha=90.00 beta=90.00 gamma=90.00
Closest atoms and distances in Å follow each position.
Sites, in units of the cell vectors:
Cs  0.0000  0.5000  0.0000  2 S 3.36
Cs  0.0000  0.0000  0.5000  2 S 3.36
Cs  0.5000  0.0000  0.0000  2 S 3.36
Ni  0.5000  0.5000  0.5000  12 Cs 4.76
S  0.0000  0.0000  0.0000  6 Cs 3.36

---

(7)
A relaxed structure of Cs2KSbCl8, computed with GGA-PBE.

Properties
Formation energy from raw total energies in eV per atom: -1.29
SG: P-1

Unit cell a=6.3314 b=8.0982 c=10.1827 alpha=89.99 beta=89.76 gamma=100.11
Closest atoms and distances in Å follow each position.
Sites, in units of the cell vectors:
Cs  0.4980  0.4978  0.7440  2 Cl 3.24
Cs  0.5020  0.5022  0.2560  2 Cl 3.24
K  0.0000  0.0000  0.5000  2 Cl 2.98
Sb  0.0000  0.0000  0.0000  6 Cl 2.41-2.42
Cl  0.1086  0.8217  0.1690  1 Sb 2.42
Cl  0.6495  0.8270  0.9985  1 Sb 2.41
Cl  0.8868  0.1747  0.1702  1 Sb 2.42
Cl  0.8914  0.1783  0.8310  1 Sb 2.42
Cl  0.3505  0.1730  0.0015  1 Sb 2.41
Cl  0.1132  0.8253  0.8298  1 Sb 2.42
Cl  0.5862  0.7599  0.5011  1 K 2.98, 2 Cs 3.24
Cl  0.4138  0.2401  0.4989  1 K 2.98, 2 Cs 3.24

---

(8)
A relaxed structure of ScTa2Ga8, computed with GGA-PBE.

Properties
Calculated total energy in eV per formula unit: -54.174
SG: C2/m

Unit cell a=5.2289 b=6.9631 c=6.9164 alpha=59.78 beta=81.11 gamma=72.12
Closest atoms and distances in Å follow each position.
Sites, in units of the cell vectors:
Sc  0.5000  0.0000  0.0000  8 Ga 2.74-2.95
Ta  0.0000  0.2890  0.4220  8 Ga 2.65-2.84
Ta  0.0000  0.7110  0.5780  8 Ga 2.65-2.84
Ga  0.8352  0.1108  0.2113  3 Ga 2.53-2.82, 2 Ta 2.65-2.70
Ga  0.8352  0.3221  0.7887  3 Ga 2.53-2.82, 2 Ta 2.65-2.70
Ga  0.2570  0.4092  0.0000  3 Ga 2.60-2.80, 1 Sc 2.74, 2 Ta 2.84
Ga  0.5000  0.7535  0.4930  2 Ta 2.66, 2 Ga 2.82, 1 Sc 2.95
Ga  0.5000  0.2465  0.5070  2 Ta 2.66, 2 Ga 2.82, 1 Sc 2.95
Ga  0.7430  0.5908  0.0000  3 Ga 2.60-2.80, 1 Sc 2.74, 2 Ta 2.84
Ga  0.1648  0.6779  0.2113  3 Ga 2.53-2.82, 2 Ta 2.65-2.70
Ga  0.1648  0.8892  0.7887  3 Ga 2.53-2.82, 2 Ta 2.65-2.70

---

Results for size of the total moment: 0.0, 0.0, 0.0, 0.0, 0.0, 1.0, 0.0, 0.0 (in Bohr magnetons per cell, following the order of the records).